Model i:
Y3ScAl | PBE | optimized geometry

Cell lengths 5.4031, 5.4031, 5.4031 Å; angles 90.00, 90.00, 90.00 degrees
Last column: nearest neighbours and their distance in Å.
Space group Pm-3m (No. 221)
One atom of each set of equivalent atoms:
Y  0.0000  0.0000  0.5000 x3  2 Sc 2.70
Sc  0.0000  0.0000  0.0000 x1  6 Y 2.70
Al  0.5000  0.5000  0.5000 x1  12 Y 3.82

Values from the calculation:
- mass density (g cm⁻³) = 3.57

---

Model ii:
Y3ScAl | PBE | optimized geometry

Cell lengths 5.5240, 5.5240, 5.5240 Å; angles 90.00, 90.00, 90.00 degrees
Last column: nearest neighbours and their distance in Å.
Space group Pm-3m (No. 221)
One atom of each set of equivalent atoms:
Y  0.0000  0.0000  0.5000 x3  2 Al 2.76
Sc  0.5000  0.5000  0.5000 x1  12 Y 3.91
Al  0.0000  0.0000  0.0000 x1  6 Y 2.76

Values from the calculation:
- mass density (g cm⁻³) = 3.34

---

Least stable of them? model i.